## PmEr3Ge3 (PBE-GGA)

Data for a relaxed PmEr3Ge3 crystal.

Summary:
The magnetic moment comes out at 0.00 μB/f.u. The calculation puts the formation energy from the elements at -564.3 meV/atom. The density of states at the Fermi level comes out at 0.089 states/eV/atom.

a = 8.9080 Å, b = 8.9080 Å, c = 5.5785 Å
α = 90.00°, β = 90.00°, γ = 120.00°
With the nearest neighbours (Å) after each atom.
Space group P6_3/m (No. 176)
Asymmetric unit:
Pm 0.3333 0.6667 0.2500 (multiplicity 2)  3 Ge 2.99, 3 Er 3.23
Er 0.0170 0.7067 0.7500 (multiplicity 6)  4 Ge 2.74-3.01
Ge 0.0198 0.3704 0.7500 (multiplicity 6)  4 Er 2.74-3.01, 1 Pm 2.99

## PmErGe (PBE-GGA)

Data for a relaxed PmErGe crystal.

Summary:
For the relative energy among the computed polymorphs, the calculation gives 0.0805 eV/atom. The magnetic moment comes out at 0.00 μB/f.u. The calculation puts the formation energy from the elements at -525.6 meV/atom. The density of states at the Fermi level comes out at 0.856 states/eV/atom.

a = 6.9747 Å, b = 6.9747 Å, c = 6.9747 Å
α = 90.00°, β = 90.00°, γ = 90.00°
With the nearest neighbours (Å) after each atom.
Space group F-43m (No. 216)
Asymmetric unit:
Pm 0.0000 0.0000 0.0000 (multiplicity 4)  4 Ge 3.02
Er 0.0000 0.0000 0.5000 (multiplicity 4)  4 Ge 3.02
Ge 0.2500 0.2500 0.7500 (multiplicity 4)  4 Er 3.02, 4 Pm 3.02

## PmEr4Ge4 (PBE-GGA)

Data for a relaxed PmEr4Ge4 crystal.

Summary:
The magnetic moment comes out at 0.00 μB/f.u. The calculation puts the formation energy from the elements at -575.5 meV/atom. The density of states at the Fermi level comes out at 0.861 states/eV/atom.

a = 9.2348 Å, b = 9.2348 Å, c = 5.7479 Å
α = 90.00°, β = 90.00°, γ = 90.00°
With the nearest neighbours (Å) after each atom.
Space group P4_2/n (No. 86, origin choice 2)
Asymmetric unit:
Pm 0.2500 0.2500 0.2500 (multiplicity 2)  4 Ge 3.04
Er 0.0922 0.6461 0.1384 (multiplicity 8)  5 Ge 2.90-2.97
Ge 0.0394 0.6075 0.6445 (multiplicity 8)  1 Ge 2.69, 5 Er 2.90-2.97

## PmEr2Ge2 (PBE-GGA)

Data for a relaxed PmEr2Ge2 crystal.

Summary:
The magnetic moment comes out at 0.00 μB/f.u. The calculation puts the formation energy from the elements at -573.0 meV/atom. The density of states at the Fermi level comes out at 0.947 states/eV/atom.

a = 12.0922 Å, b = 3.8080 Å, c = 5.7444 Å
α = 90.00°, β = 102.27°, γ = 90.00°
With the nearest neighbours (Å) after each atom.
Space group C2/m (No. 12)
Asymmetric unit:
Pm 0.0000 0.0000 0.0000 (multiplicity 2)  4 Ge 3.13
Er 0.1406 0.5000 0.5697 (multiplicity 4)  4 Ge 2.90-3.07
Ge 0.2097 0.5000 0.1165 (multiplicity 4)  2 Ge 2.63, 1 Er 2.90

## Pm3ErGe4 (PBE-GGA)

Data for a relaxed Pm3ErGe4 crystal.

Summary:
The magnetic moment comes out at 0.00 μB/f.u. The calculation puts the formation energy from the elements at -633.8 meV/atom. The density of states at the Fermi level comes out at 1.193 states/eV/atom.

a = 5.9697 Å, b = 11.9995 Å, c = 5.9699 Å
α = 90.00°, β = 90.00°, γ = 90.00°
With the nearest neighbours (Å) after each atom.
Space group Pmmn (No. 59, origin choice 2)
Asymmetric unit:
Pm 0.2500 0.0000 0.2493 (multiplicity 4)  6 Ge 2.98-3.00
Pm 0.2500 0.2500 0.7464 (multiplicity 2)  6 Ge 2.98-3.05
Er 0.2500 0.7500 0.7526 (multiplicity 2)  6 Ge 2.95-2.99
Ge 0.2500 0.2500 0.2461 (multiplicity 2)  4 Pm 2.98-3.00, 2 Er 2.98
Ge 0.2500 0.5045 0.7492 (multiplicity 4)  1 Er 2.95, 5 Pm 2.98-3.05
Ge 0.2500 0.7500 0.2525 (multiplicity 2)  2 Er 2.98-2.99, 4 Pm 2.98-3.00

## PmEr2Ge (PBE-GGA)

Data for a relaxed PmEr2Ge crystal.

Summary:
For the relative energy among the computed polymorphs, the calculation gives 0.1332 eV/atom. The magnetic moment comes out at 0.00 μB/f.u. The calculation puts the formation energy from the elements at -316.7 meV/atom. The density of states at the Fermi level comes out at 1.309 states/eV/atom.

a = 4.6894 Å, b = 4.6894 Å, c = 4.6784 Å
α = 90.00°, β = 90.00°, γ = 90.00°
With the nearest neighbours (Å) after each atom.
Space group P4/mmm (No. 123)
Asymmetric unit:
Pm 0.0000 0.0000 0.0000 (multiplicity 1)  8 Er 3.31, 4 Ge 3.32
Er 0.0000 0.5000 0.5000 (multiplicity 2)  4 Ge 3.31, 4 Pm 3.31, 4 Er 3.32
Ge 0.5000 0.5000 0.0000 (multiplicity 1)  8 Er 3.31, 4 Pm 3.32

## PmErGe (PBE-GGA)

Data for a relaxed PmErGe crystal.

Summary:
For the relative energy among the computed polymorphs, the calculation gives 0.1928 eV/atom. The magnetic moment comes out at 0.00 μB/f.u. The calculation puts the formation energy from the elements at -413.3 meV/atom. The density of states at the Fermi level comes out at 0.877 states/eV/atom.

a = 5.5670 Å, b = 9.9705 Å, c = 5.4038 Å
α = 90.00°, β = 90.00°, γ = 90.00°
With the nearest neighbours (Å) after each atom.
Space group Cmcm (No. 63)
Asymmetric unit:
Pm 0.0000 0.0924 0.2500 (multiplicity 4)  1 Er 2.97, 4 Ge 3.11-3.21, 2 Pm 3.27
Er 0.0000 0.3907 0.2500 (multiplicity 4)  1 Pm 2.97, 4 Ge 3.06-3.10
Ge 0.0000 0.2467 0.7500 (multiplicity 4)  4 Er 3.06-3.10, 5 Pm 3.11-3.38

## PmErGe (PBE-GGA)

Data for a relaxed PmErGe crystal.

Summary:
For the relative energy among the computed polymorphs, the calculation gives 0.0000 eV/atom. The magnetic moment comes out at 0.00 μB/f.u. The calculation puts the formation energy from the elements at -606.1 meV/atom. The density of states at the Fermi level comes out at 1.434 states/eV/atom.

a = 6.2422 Å, b = 6.2430 Å, c = 8.1811 Å
α = 90.00°, β = 90.03°, γ = 90.00°
With the nearest neighbours (Å) after each atom.
Space group C2/m (No. 12)
Asymmetric unit:
Pm 0.2496 0.0000 0.1451 (multiplicity 4)  5 Ge 3.09-3.20
Er 0.0000 0.2500 0.5000 (multiplicity 4)  4 Ge 3.11, 4 Er 3.12
Ge 0.2495 0.5000 0.2323 (multiplicity 4)  5 Pm 3.09-3.20, 4 Er 3.11

## Pm8ErGe6 (PBE-GGA)

Data for a relaxed Pm8ErGe6 crystal.

Summary:
The magnetic moment comes out at 0.00 μB/f.u. The calculation puts the formation energy from the elements at -602.5 meV/atom. The density of states at the Fermi level comes out at 0.572 states/eV/atom.

a = 7.9286 Å, b = 7.9286 Å, c = 24.1921 Å
α = 90.00°, β = 90.00°, γ = 120.00°
With the nearest neighbours (Å) after each atom.
Space group R-3 (No. 148, hexagonal axes)
Asymmetric unit:
Pm 0.0000 0.0000 0.1666 (multiplicity 6)  6 Ge 3.13
Pm 0.0000 0.3356 0.6177 (multiplicity 18)  3 Ge 2.89-2.92
Er 0.0000 0.0000 0.5000 (multiplicity 3)  6 Ge 3.09
Ge 0.0003 0.3292 0.4317 (multiplicity 18)  5 Pm 2.89-3.13, 1 Er 3.09

## Pm3Er2Ge2 (PBE-GGA)

Data for a relaxed Pm3Er2Ge2 crystal.

Summary:
The magnetic moment comes out at 0.00 μB/f.u. The calculation puts the formation energy from the elements at -510.8 meV/atom. The density of states at the Fermi level comes out at 0.947 states/eV/atom.

a = 12.0695 Å, b = 4.1841 Å, c = 8.3395 Å
α = 90.00°, β = 110.37°, γ = 90.00°
With the nearest neighbours (Å) after each atom.
Space group C2/m (No. 12)
Asymmetric unit:
Pm 0.0000 0.0000 0.0000 (multiplicity 2)  4 Ge 3.04
Pm 0.1283 0.0000 0.4385 (multiplicity 4)  3 Ge 3.13-3.14, 3 Pm 3.44-3.46
Er 0.1518 0.5000 0.8040 (multiplicity 4)  3 Ge 2.92-3.15
Ge 0.1790 0.5000 0.1938 (multiplicity 4)  3 Er 2.92-3.15, 5 Pm 3.04-3.14

## PmErGe (PBE-GGA)

Data for a relaxed PmErGe crystal.

Summary:
For the relative energy among the computed polymorphs, the calculation gives 0.1925 eV/atom. The magnetic moment comes out at 0.00 μB/f.u. The calculation puts the formation energy from the elements at -413.6 meV/atom. The density of states at the Fermi level comes out at 0.555 states/eV/atom.

a = 4.7389 Å, b = 4.7389 Å, c = 4.2452 Å
α = 90.00°, β = 90.00°, γ = 120.00°
With the nearest neighbours (Å) after each atom.
Space group P3m1 (No. 156)
Asymmetric unit:
Pm 0.0000 0.0000 0.0000 (multiplicity 1)  3 Ge 3.19, 6 Er 3.41-3.52
Er 0.6667 0.3333 0.4785 (multiplicity 1)  3 Ge 2.80
Ge 0.3333 0.6667 0.6140 (multiplicity 1)  3 Er 2.80

## Pm4ErGe5 (PBE-GGA)

Data for a relaxed Pm4ErGe5 crystal.

Summary:
The magnetic moment comes out at 0.00 μB/f.u. The calculation puts the formation energy from the elements at -657.0 meV/atom. The density of states at the Fermi level comes out at 0.868 states/eV/atom.

a = 9.4664 Å, b = 9.4664 Å, c = 5.9787 Å
α = 90.00°, β = 90.00°, γ = 90.00°
With the nearest neighbours (Å) after each atom.
Space group I4/m (No. 87)
Asymmetric unit:
Pm 0.0978 0.2999 0.0000 (multiplicity 8)  6 Ge 2.99-3.02
Er 0.0000 0.0000 0.5000 (multiplicity 2)  6 Ge 2.95-2.99
Ge 0.0000 0.0000 0.0000 (multiplicity 2)  4 Pm 2.99, 2 Er 2.99
Ge 0.0991 0.2949 0.5000 (multiplicity 8)  1 Er 2.95, 5 Pm 2.99-3.02